First-principles (PBE) data for Re4RuRh after structural relaxation, as listed in Alexandria via LeMat-Bulk.

a = 4.774 Å, b = 8.271 Å, c = 4.770 Å
α = 90.00°, β = 110.59°, γ = 90.00°
Space group C2/m (No. 12)
Unique sites:
Re (0.000, 0.167, 0.000) x4
Re (0.000, 0.331, 0.500) x4
Ru (0.000, 0.000, 0.500) x2
Rh (0.000, 0.500, 0.000) x2

Calculated values
ΔE to the lowest computed polymorph in eV/atom: 0.000
Formation energy in eV per atom: 0.01